Record 1
Density functional theory data (PBE) for a relaxed Pr3BiIrBr crystal.

As for the formation energy (no corrections): -0.826 eV per atom. The calculation puts the volume at 357.4 Å³/cell.

The space group is P2_1/m (No. 11) and the conventional cell measures 8.238, 4.476 and 10.393 Å, with angles of 90.00, 111.15 and 90.00 degrees. Symmetry generates all atoms from Pr at (0.024, 0.250, 0.359), Pr at (0.195, 0.250, 0.982), Pr at (0.414, 0.750, 0.604), Bi at (0.238, 0.750, 0.228), Ir at (0.219, 0.250, 0.644) and Br at (0.368, 0.750, 0.885).


Record 2
Density functional theory data (PBE) for a relaxed Ta2ZnW crystal.

As for the energy of formation from the pure elements: 0.173 eV/atom. The calculation puts the volume at 67.6 Å³/cell.

The space group is P4mm (No. 99) and the conventional cell measures 2.749, 2.749 and 8.938 Å, with angles of 90.00, 90.00 and 90.00 degrees. Symmetry generates all atoms from Ta at (0.000, 0.000, 0.000), Ta at (0.500, 0.500, 0.265), Zn at (0.500, 0.500, 0.759) and W at (0.000, 0.000, 0.529).


Record 3
Density functional theory data (PBE) for a relaxed BaAg2Au6 crystal.

As for the energy of formation from the pure elements: -0.157 eV/atom. The calculation puts the volume at 233.3 Å³/cell.

The space group is P6/mmm (No. 191) and the conventional cell measures 5.5367, 5.5367 and 8.7888 Å, with angles of 90.00, 90.00 and 120.00 degrees. Symmetry generates all atoms from Ba at (0.0000, 0.0000, 0.0000), Ag at (0.3333, 0.6667, 0.5000) and Au at (0.0000, 0.5000, 0.2314).


Record 4
Density functional theory data (PBE) for a relaxed MnNbInRh crystal.

As for the energy of formation from the pure elements: -0.131 eV/atom. The calculation puts the volume at 251.3 Å³/cell.

The space group is F-43m (No. 216) and the conventional cell measures 6.310, 6.310 and 6.310 Å, with angles of 90.00, 90.00 and 90.00 degrees. Symmetry generates all atoms from Mn at (0.000, 0.000, 0.000), Nb at (0.250, 0.250, 0.250), In at (0.250, 0.250, 0.750) and Rh at (0.000, 0.000, 0.500).